(1)
# TeAu3S PBE optimized geometry
data_TeAu3S
_space_group_name_H-M_alt 'P m -3 m'
_space_group_IT_number 221
_space_group_name_Hall '-P 4 2 3'
_cell_length_a 5.237
_cell_length_b 5.237
_cell_length_c 5.237
_cell_angle_alpha 90.00
_cell_angle_beta 90.00
_cell_angle_gamma 90.00
loop_
_atom_site_label
_atom_site_fract_x
_atom_site_fract_y
_atom_site_fract_z
Te1 0.000 0.000 0.000
Au1 0.000 0.000 0.500
S1 0.500 0.500 0.500
# DFT total energy in eV per formula unit: -13.1
# Formation energy from raw total energies in eV per atom: 0.799
# Polymorph energy (0 for the lowest one) in meV per atom: 347

---

(2)
# Ba2MnNb PBE optimized geometry
data_Ba2MnNb
_space_group_name_H-M_alt 'F m -3 m'
_space_group_IT_number 225
_space_group_name_Hall '-F 4 2 3'
_cell_length_a 7.886
_cell_length_b 7.886
_cell_length_c 7.886
_cell_angle_alpha 90.00
_cell_angle_beta 90.00
_cell_angle_gamma 90.00
loop_
_atom_site_label
_atom_site_fract_x
_atom_site_fract_y
_atom_site_fract_z
Ba1 0.250 0.250 0.250
Mn1 0.000 0.000 0.000
Nb1 0.000 0.000 0.500
# Formation energy in eV per atom: 1.576
# DFT total energy in eV per formula unit: -16.8

---

(3)
# Nd12Dy2Tm PBE optimized geometry
data_Nd12Dy2Tm
_space_group_name_H-M_alt 'C m m e'
_space_group_IT_number 67
_space_group_name_Hall '-C 2a 2'
_cell_length_a 7.211
_cell_length_b 11.638
_cell_length_c 25.006
_cell_angle_alpha 90.00
_cell_angle_beta 90.00
_cell_angle_gamma 90.00
loop_
_atom_site_label
_atom_site_fract_x
_atom_site_fract_y
_atom_site_fract_z
Nd1 0.000 0.002 0.073
Nd2 0.000 0.025 0.560
Nd3 0.230 0.250 0.415
Nd4 0.248 0.250 0.871
Nd5 0.250 0.000 0.198
Nd6 0.250 0.000 0.324
Dy1 0.000 0.250 0.266
Dy2 0.000 0.250 0.729
Tm1 0.000 0.250 0.999
# Formation energy in eV per atom: 0.157
# DFT total energy in eV per formula unit: -68.5

---

(4)
# La2Pm7Th2 PBE optimized geometry
data_La2Pm7Th2
_space_group_name_H-M_alt 'C 1 2/m 1'
_space_group_IT_number 12
_cell_length_a 11.789
_cell_length_b 11.605
_cell_length_c 6.080
_cell_angle_alpha 90.00
_cell_angle_beta 112.63
_cell_angle_gamma 90.00
loop_
_space_group_symop_operation_xyz
'x,y,z'
'-x,-y,-z'
'-x,y,-z'
'x,-y,z'
'x+1/2,y+1/2,z'
'-x+1/2,-y+1/2,-z'
'-x+1/2,y+1/2,-z'
'x+1/2,-y+1/2,z'
loop_
_atom_site_label
_atom_site_fract_x
_atom_site_fract_y
_atom_site_fract_z
La1 0.069 0.000 0.297
Pm1 0.000 0.500 0.500
Pm2 0.182 0.274 0.674
Pm3 0.217 0.500 0.099
Th1 0.000 0.281 0.000
# Formation energy in eV per atom: 0.171
# DFT total energy in eV per formula unit: -56.1
# Polymorph energy (0 for the lowest one) in meV per atom: 0

---

(5)
# K2BaTl2Sb2 PBE optimized geometry
data_K2BaTl2Sb2
_space_group_name_H-M_alt 'R -3 m'
_space_group_IT_number 166
_space_group_name_Hall '-R 3 2"'
_cell_length_a 5.3740
_cell_length_b 5.3740
_cell_length_c 30.9588
_cell_angle_alpha 90.00
_cell_angle_beta 90.00
_cell_angle_gamma 120.00
loop_
_atom_site_label
_atom_site_fract_x
_atom_site_fract_y
_atom_site_fract_z
K1 0.0000 0.0000 0.1382
Ba1 0.0000 0.0000 0.0000
Tl1 0.0000 0.0000 0.4321
Sb1 0.0000 0.0000 0.2671
# DFT total energy in eV per formula unit: -20.0
# Formation energy from raw total energies in eV per atom: -0.411

---

(6)
# ZrCo2H8 PBE optimized geometry
data_ZrCo2H8
_space_group_name_H-M_alt 'P 4/m m m'
_space_group_IT_number 123
_space_group_name_Hall '-P 4 2'
_cell_length_a 4.057
_cell_length_b 4.057
_cell_length_c 4.298
_cell_angle_alpha 90.00
_cell_angle_beta 90.00
_cell_angle_gamma 90.00
loop_
_atom_site_label
_atom_site_fract_x
_atom_site_fract_y
_atom_site_fract_z
Zr1 0.000 0.000 0.000
Co1 0.000 0.500 0.500
H1 0.284 0.284 0.295
# DFT total energy in eV per formula unit: -50.2
# Polymorph energy (0 for the lowest one) in meV per atom: 0

---

(7)
# Er3Zn3Ag2 PBE optimized geometry
data_Er3Zn3Ag2
_space_group_name_H-M_alt 'P -6 2 m'
_space_group_IT_number 189
_space_group_name_Hall 'P -6 -2'
_cell_length_a 7.1597
_cell_length_b 7.1597
_cell_length_c 3.9456
_cell_angle_alpha 90.00
_cell_angle_beta 90.00
_cell_angle_gamma 120.00
loop_
_atom_site_label
_atom_site_fract_x
_atom_site_fract_y
_atom_site_fract_z
Er1 0.0000 0.3871 0.0000
Zn1 0.0000 0.7752 0.5000
Ag1 0.3333 0.6667 0.5000
# Formation energy in eV per atom: -0.241
# DFT total energy in eV per formula unit: -25.1

---

(8)
# Sb2WSeI PBE optimized geometry
data_Sb2WSeI
_space_group_name_H-M_alt 'P 4/m m m'
_space_group_IT_number 123
_space_group_name_Hall '-P 4 2'
_cell_length_a 5.302
_cell_length_b 5.302
_cell_length_c 5.210
_cell_angle_alpha 90.00
_cell_angle_beta 90.00
_cell_angle_gamma 90.00
loop_
_atom_site_label
_atom_site_fract_x
_atom_site_fract_y
_atom_site_fract_z
Sb1 0.000 0.500 0.000
W1 0.000 0.000 0.000
Se1 0.500 0.500 0.500
I1 0.000 0.000 0.500
# DFT total energy in eV per formula unit: -22.7
# Formation energy from raw total energies in eV per atom: 0.703
# Polymorph energy (0 for the lowest one) in meV per atom: 0

---

(9)
# Sc5CdHg4 PBE optimized geometry
data_Sc5CdHg4
_space_group_name_H-M_alt 'P 4/m m m'
_space_group_IT_number 123
_space_group_name_Hall '-P 4 2'
_cell_length_a 3.533
_cell_length_b 3.533
_cell_length_c 17.545
_cell_angle_alpha 90.00
_cell_angle_beta 90.00
_cell_angle_gamma 90.00
loop_
_atom_site_label
_atom_site_fract_x
_atom_site_fract_y
_atom_site_fract_z
Sc1 0.000 0.000 0.000
Sc2 0.000 0.000 0.200
Sc3 0.000 0.000 0.398
Cd1 0.500 0.500 0.500
Hg1 0.500 0.500 0.100
Hg2 0.500 0.500 0.301
# Formation energy in eV per atom: -0.401
# DFT total energy in eV per formula unit: -37.8

---

(10)
# Rb2CaTlI5 PBE optimized geometry
data_Rb2CaTlI5
_space_group_name_H-M_alt 'P 4/m m m'
_space_group_IT_number 123
_space_group_name_Hall '-P 4 2'
_cell_length_a 6.002
_cell_length_b 6.002
_cell_length_c 13.009
_cell_angle_alpha 90.00
_cell_angle_beta 90.00
_cell_angle_gamma 90.00
loop_
_atom_site_label
_atom_site_fract_x
_atom_site_fract_y
_atom_site_fract_z
Rb1 0.000 0.000 0.216
Ca1 0.500 0.500 0.000
Tl1 0.500 0.500 0.500
I1 0.000 0.000 0.500
I2 0.000 0.500 0.000
I3 0.500 0.500 0.242
# DFT total energy in eV per formula unit: -25.6
# Formation energy from raw total energies in eV per atom: -1.286

---

(11)
# PaInTe PBE optimized geometry
data_PaInTe
_space_group_name_H-M_alt 'P 4/n m m'
_space_group_IT_number 129
_cell_length_a 4.306
_cell_length_b 4.306
_cell_length_c 8.817
_cell_angle_alpha 90.00
_cell_angle_beta 90.00
_cell_angle_gamma 90.00
loop_
_space_group_symop_operation_xyz
'x,y,z'
'-x,-y,-z'
'-y+1/2,x,z'
'y+1/2,-x,-z'
'-x+1/2,-y+1/2,z'
'x+1/2,y+1/2,-z'
'y,-x+1/2,z'
'-y,x+1/2,-z'
'x+1/2,-y,-z'
'-x+1/2,y,z'
'-y,-x,-z'
'y,x,z'
'-x,y+1/2,-z'
'x,-y+1/2,z'
'y+1/2,x+1/2,-z'
'-y+1/2,-x+1/2,z'
loop_
_atom_site_label
_atom_site_fract_x
_atom_site_fract_y
_atom_site_fract_z
Pa1 0.250 0.250 0.211
In1 0.250 0.750 0.500
Te1 0.250 0.250 0.852
# DFT total energy in eV per formula unit: -16.8
# Formation energy from raw total energies in eV per atom: -0.466
# Polymorph energy (0 for the lowest one) in meV per atom: 22

---

(12)
# ZrAl4Os PBE optimized geometry
data_ZrAl4Os
_space_group_name_H-M_alt 'F -4 3 m'
_space_group_IT_number 216
_space_group_name_Hall 'F -4 2 3'
_cell_length_a 7.252
_cell_length_b 7.252
_cell_length_c 7.252
_cell_angle_alpha 90.00
_cell_angle_beta 90.00
_cell_angle_gamma 90.00
loop_
_atom_site_label
_atom_site_fract_x
_atom_site_fract_y
_atom_site_fract_z
Zr1 0.000 0.000 0.000
Al1 0.125 0.125 0.625
Os1 0.250 0.250 0.250
# Formation energy in eV per atom: -0.066
# DFT total energy in eV per formula unit: -35.1